1.
Material: NaSe2O6
Method: DFT, GGA-PBE
State: optimized geometry

Cell lengths 5.595, 5.583, 10.965 Å; angles 90.00, 107.00, 90.00 degrees
Atoms (fractional coordinates):
Na (0.000, 0.000, 0.000)
Na (0.000, 0.500, 0.500)
Se (0.333, 0.247, 0.281)
Se (0.333, 0.253, 0.781)
Se (0.667, 0.747, 0.219)
Se (0.667, 0.753, 0.719)
O (0.086, 0.189, 0.661)
O (0.086, 0.311, 0.161)
O (0.301, 0.212, 0.924)
O (0.301, 0.288, 0.424)
O (0.398, 0.603, 0.731)
O (0.398, 0.897, 0.231)
O (0.602, 0.103, 0.769)
O (0.602, 0.397, 0.269)
O (0.699, 0.712, 0.576)
O (0.699, 0.788, 0.076)
O (0.914, 0.689, 0.839)
O (0.914, 0.811, 0.339)

Output
For the formation energy without anion corrections, the calculation gives -6.25 eV per formula unit. Its space-group type is P2_1/c, No. 14.

2.
Material: NaSe2O6
Method: DFT, GGA-PBE
State: optimized geometry

Cell lengths 5.889, 5.541, 11.131 Å; angles 90.00, 105.33, 90.00 degrees
Atoms (fractional coordinates):
Na (0.000, 0.045, 0.000)
Na (0.000, 0.955, 0.500)
Se (0.266, 0.387, 0.748)
Se (0.266, 0.613, 0.248)
Se (0.598, 0.049, 0.205)
Se (0.598, 0.951, 0.705)
O (0.130, 0.332, 0.601)
O (0.130, 0.668, 0.101)
O (0.142, 0.251, 0.848)
O (0.142, 0.749, 0.348)
O (0.332, 0.180, 0.180)
O (0.332, 0.820, 0.680)
O (0.564, 0.243, 0.776)
O (0.564, 0.757, 0.276)
O (0.662, 0.004, 0.573)
O (0.662, 0.996, 0.073)
O (0.803, 0.178, 0.316)
O (0.803, 0.822, 0.816)

Output
For the formation energy without anion corrections, the calculation gives -6.60 eV per formula unit. Its space-group type is Pc, No. 7.

3.
Material: Na2Se2O7
Method: DFT, GGA-PBE
State: optimized geometry

Cell lengths 7.106, 7.224, 7.256 Å; angles 66.05, 81.62, 82.32 degrees
Atoms (fractional coordinates):
Na (0.076, 0.229, 0.271)
Na (0.347, 0.392, 0.733)
Na (0.653, 0.608, 0.267)
Na (0.924, 0.771, 0.729)
Se (0.146, 0.716, 0.258)
Se (0.397, 0.856, 0.816)
Se (0.603, 0.144, 0.184)
Se (0.854, 0.284, 0.742)
O (0.003, 0.399, 0.809)
O (0.040, 0.866, 0.370)
O (0.251, 0.907, 0.028)
O (0.267, 0.717, 0.760)
O (0.321, 0.556, 0.371)
O (0.400, 0.263, 0.094)
O (0.412, 0.093, 0.656)
O (0.588, 0.907, 0.344)
O (0.600, 0.737, 0.906)
O (0.679, 0.444, 0.629)
O (0.733, 0.283, 0.240)
O (0.749, 0.093, 0.972)
O (0.960, 0.134, 0.630)
O (0.997, 0.601, 0.191)

Output
For the formation energy without anion corrections, the calculation gives -11.55 eV per formula unit. Its space-group type is P-1, No. 2.

4.
Material: NaSeO3
Method: DFT, GGA-PBE
State: optimized geometry

Cell lengths 8.020, 3.521, 11.666 Å; angles 90.00, 95.13, 90.00 degrees
Atoms (fractional coordinates):
Na (0.137, 0.249, 0.359)
Na (0.137, 0.251, 0.859)
Na (0.863, 0.749, 0.141)
Na (0.863, 0.751, 0.641)
Se (0.298, 0.742, 0.620)
Se (0.298, 0.758, 0.120)
Se (0.702, 0.242, 0.880)
Se (0.702, 0.258, 0.380)
O (0.156, 0.750, 0.218)
O (0.156, 0.750, 0.718)
O (0.190, 0.750, 0.490)
O (0.190, 0.750, 0.990)
O (0.400, 0.211, 0.135)
O (0.400, 0.289, 0.635)
O (0.600, 0.711, 0.365)
O (0.600, 0.789, 0.865)
O (0.810, 0.250, 0.010)
O (0.810, 0.250, 0.510)
O (0.844, 0.250, 0.282)
O (0.844, 0.250, 0.782)

Output
For the formation energy without anion corrections, the calculation gives -5.25 eV per formula unit. Its space-group type is P2_1/c, No. 14.

5.
Material: Na4SeO
Method: DFT, GGA-PBE
State: optimized geometry

Cell lengths 7.479, 7.479, 6.281 Å; angles 105.90, 105.90, 50.67 degrees
Atoms (fractional coordinates):
Na (0.092, 0.693, 0.478)
Na (0.187, 0.187, 0.030)
Na (0.239, 0.761, 0.000)
Na (0.307, 0.908, 0.522)
Na (0.693, 0.092, 0.478)
Na (0.761, 0.239, 0.000)
Na (0.813, 0.813, 0.970)
Na (0.908, 0.307, 0.522)
Se (0.321, 0.321, 0.752)
Se (0.679, 0.679, 0.248)
O (0.031, 0.031, 0.754)
O (0.969, 0.969, 0.246)

Output
For the formation energy without anion corrections, the calculation gives -6.19 eV per formula unit. Its space-group type is C2/m, No. 12.

6.
Material: Na6Se2O9
Method: DFT, GGA-PBE
State: optimized geometry

Cell lengths 16.102, 7.912, 14.967 Å; angles 90.00, 90.00, 90.00 degrees
Atoms (fractional coordinates):
Na (0.018, 0.031, 0.126)
Na (0.018, 0.469, 0.126)
Na (0.023, 0.041, 0.347)
Na (0.023, 0.459, 0.347)
Na (0.110, 0.750, 0.238)
Na (0.120, 0.750, 0.733)
Na (0.129, 0.250, 0.954)
Na (0.143, 0.250, 0.509)
Na (0.232, 0.030, 0.342)
Na (0.232, 0.470, 0.342)
Na (0.235, 0.034, 0.120)
Na (0.235, 0.466, 0.120)
Na (0.265, 0.534, 0.620)
Na (0.265, 0.966, 0.620)
Na (0.268, 0.530, 0.842)
Na (0.268, 0.970, 0.842)
Na (0.357, 0.750, 0.009)
Na (0.371, 0.750, 0.454)
Na (0.380, 0.250, 0.233)
Na (0.390, 0.250, 0.738)
Na (0.477, 0.541, 0.847)
Na (0.477, 0.959, 0.847)
Na (0.482, 0.531, 0.626)
Na (0.482, 0.969, 0.626)
Na (0.518, 0.031, 0.374)
Na (0.518, 0.469, 0.374)
Na (0.523, 0.041, 0.153)
Na (0.523, 0.459, 0.153)
Na (0.610, 0.750, 0.262)
Na (0.620, 0.750, 0.767)
Na (0.629, 0.250, 0.546)
Na (0.643, 0.250, 0.991)
Na (0.732, 0.030, 0.158)
Na (0.732, 0.470, 0.158)
Na (0.735, 0.034, 0.380)
Na (0.735, 0.466, 0.380)
Na (0.765, 0.534, 0.880)
Na (0.765, 0.966, 0.880)
Na (0.768, 0.530, 0.658)
Na (0.768, 0.970, 0.658)
Na (0.857, 0.750, 0.491)
Na (0.871, 0.750, 0.046)
Na (0.880, 0.250, 0.267)
Na (0.890, 0.250, 0.762)
Na (0.977, 0.541, 0.653)
Na (0.977, 0.959, 0.653)
Na (0.982, 0.531, 0.874)
Na (0.982, 0.969, 0.874)
Se (0.122, 0.750, 0.486)
Se (0.126, 0.250, 0.737)
Se (0.129, 0.250, 0.230)
Se (0.129, 0.750, 0.980)
Se (0.371, 0.250, 0.480)
Se (0.371, 0.750, 0.730)
Se (0.374, 0.750, 0.237)
Se (0.378, 0.250, 0.986)
Se (0.622, 0.750, 0.014)
Se (0.626, 0.250, 0.763)
Se (0.629, 0.250, 0.270)
Se (0.629, 0.750, 0.520)
Se (0.871, 0.250, 0.020)
Se (0.871, 0.750, 0.770)
Se (0.874, 0.750, 0.263)
Se (0.878, 0.250, 0.514)
O (0.013, 0.250, 0.232)
O (0.040, 0.750, 0.039)
O (0.041, 0.250, 0.802)
O (0.060, 0.750, 0.394)
O (0.061, 0.750, 0.576)
O (0.126, 0.078, 0.671)
O (0.126, 0.422, 0.671)
O (0.127, 0.250, 0.105)
O (0.128, 0.018, 0.230)
O (0.128, 0.482, 0.230)
O (0.131, 0.250, 0.356)
O (0.131, 0.576, 0.915)
O (0.131, 0.924, 0.915)
O (0.182, 0.577, 0.485)
O (0.182, 0.923, 0.485)
O (0.209, 0.250, 0.805)
O (0.210, 0.750, 0.050)
O (0.244, 0.250, 0.229)
O (0.256, 0.750, 0.729)
O (0.290, 0.250, 0.550)
O (0.291, 0.750, 0.305)
O (0.318, 0.077, 0.985)
O (0.318, 0.423, 0.985)
O (0.369, 0.076, 0.415)
O (0.369, 0.424, 0.415)
O (0.369, 0.750, 0.856)
O (0.372, 0.518, 0.730)
O (0.372, 0.982, 0.730)
O (0.373, 0.750, 0.605)
O (0.374, 0.578, 0.171)
O (0.374, 0.922, 0.171)
O (0.439, 0.250, 0.076)
O (0.440, 0.250, 0.894)
O (0.459, 0.750, 0.302)
O (0.460, 0.250, 0.539)
O (0.487, 0.750, 0.732)
O (0.513, 0.250, 0.268)
O (0.540, 0.750, 0.461)
O (0.541, 0.250, 0.698)
O (0.560, 0.750, 0.106)
O (0.561, 0.750, 0.924)
O (0.626, 0.078, 0.829)
O (0.626, 0.422, 0.829)
O (0.627, 0.250, 0.395)
O (0.628, 0.018, 0.270)
O (0.628, 0.482, 0.270)
O (0.631, 0.250, 0.144)
O (0.631, 0.576, 0.585)
O (0.631, 0.924, 0.585)
O (0.682, 0.577, 0.015)
O (0.682, 0.923, 0.015)
O (0.709, 0.250, 0.695)
O (0.710, 0.750, 0.450)
O (0.744, 0.250, 0.271)
O (0.756, 0.750, 0.771)
O (0.790, 0.250, 0.950)
O (0.791, 0.750, 0.195)
O (0.818, 0.077, 0.515)
O (0.818, 0.423, 0.515)
O (0.869, 0.076, 0.085)
O (0.869, 0.424, 0.085)
O (0.869, 0.750, 0.644)
O (0.872, 0.518, 0.770)
O (0.872, 0.982, 0.770)
O (0.873, 0.750, 0.895)
O (0.874, 0.578, 0.329)
O (0.874, 0.922, 0.329)
O (0.939, 0.250, 0.424)
O (0.940, 0.250, 0.606)
O (0.959, 0.750, 0.198)
O (0.960, 0.250, 0.961)
O (0.987, 0.750, 0.768)

Output
For the formation energy without anion corrections, the calculation gives -22.84 eV per formula unit. Its space-group type is Pnma, No. 62.

7.
Material: Na2Se2O7
Method: DFT, GGA-PBE
State: optimized geometry

Cell lengths 5.993, 5.993, 5.004 Å; angles 97.13, 97.13, 104.80 degrees
Atoms (fractional coordinates):
Na (0.194, 0.806, 0.000)
Na (0.806, 0.194, 0.000)
Se (0.275, 0.275, 0.589)
Se (0.725, 0.725, 0.411)
O (0.126, 0.416, 0.767)
O (0.128, 0.128, 0.292)
O (0.416, 0.126, 0.767)
O (0.500, 0.500, 0.500)
O (0.584, 0.874, 0.233)
O (0.872, 0.872, 0.708)
O (0.874, 0.584, 0.233)

Output
For the formation energy without anion corrections, the calculation gives -11.19 eV per formula unit. Its space-group type is C2/m, No. 12.

8.
Material: Na7Se2O
Method: DFT, GGA-PBE
State: optimized geometry

Cell lengths 7.039, 7.039, 7.039 Å; angles 60.00, 60.00, 60.00 degrees
Atoms (fractional coordinates):
Na (0.000, 0.000, 0.000)
Na (0.282, 0.282, 0.718)
Na (0.282, 0.718, 0.282)
Na (0.282, 0.718, 0.718)
Na (0.718, 0.282, 0.282)
Na (0.718, 0.282, 0.718)
Na (0.718, 0.718, 0.282)
Se (0.250, 0.250, 0.250)
Se (0.750, 0.750, 0.750)
O (0.500, 0.500, 0.500)

Output
For the formation energy without anion corrections, the calculation gives -6.55 eV per formula unit. Its space-group type is Fm-3m, No. 225.